[1]
Entry from Alexandria via LeMat-Bulk: an optimized crystal structure of Be4AlAu5 (PBE).

Summary:
**Symmetry**: No. 123
**DFT formation energy**: -0.149 eV/atom

a b c (Å): 2.9922 2.9922 15.3748
angles (deg): 90.00 90.00 90.00
With the nearest neighbours (Å) after each atom.
Fractional coordinates of all 10 atoms:
Be 0.0000 0.0000 0.0940  8 Au 2.56-2.60
Be 0.0000 0.0000 0.2829  8 Au 2.54-2.61
Be 0.0000 0.0000 0.7171  8 Au 2.54-2.61
Be 0.0000 0.0000 0.9060  8 Au 2.56-2.60
Al 0.0000 0.0000 0.5000  8 Au 2.78, 4 Al 2.99
Au 0.5000 0.5000 0.0000  8 Be 2.56
Au 0.5000 0.5000 0.1921  8 Be 2.54-2.60
Au 0.5000 0.5000 0.3829  4 Be 2.61, 4 Al 2.78
Au 0.5000 0.5000 0.6171  4 Be 2.61, 4 Al 2.78
Au 0.5000 0.5000 0.8079  8 Be 2.54-2.60

[2]
Entry from Alexandria via LeMat-Bulk: an optimized crystal structure of CaTeAuSeS (PBE).

Summary:
**Symmetry**: No. 156
**Distance to the lowest polymorph of the same formula**: 23 meV per atom
**Formation energy from raw total energies**: -734 meV/atom

a b c (Å): 4.3992 4.3992 8.7970
angles (deg): 90.00 90.00 120.00
With the nearest neighbours (Å) after each atom.
Fractional coordinates of all 5 atoms:
Ca 0.0000 0.0000 0.0000  3 S 2.91, 3 Se 2.91
Te 0.3333 0.6667 0.5634  1 S 2.42
Au 0.6667 0.3333 0.4467  1 Se 2.50, 3 Te 2.74
Se 0.6667 0.3333 0.1621  1 Au 2.50
S 0.3333 0.6667 0.8386  1 Te 2.42

[3]
Entry from Alexandria via LeMat-Bulk: an optimized crystal structure of Hf2AlGa2 (PBE).

Summary:
**Symmetry**: No. 12
**DFT formation energy**: -0.465 eV/atom
**Distance to the lowest polymorph of the same formula**: 0 meV per atom

a b c (Å): 5.5355 5.5355 9.8182
angles (deg): 113.91 113.91 41.72
With the nearest neighbours (Å) after each atom.
Fractional coordinates of all 10 atoms:
Hf 0.0139 0.0139 0.1818  6 Ga 2.82-2.95, 3 Al 2.96-2.97
Hf 0.1924 0.1924 0.6094  6 Ga 2.80-3.09, 2 Al 2.88
Hf 0.8076 0.8076 0.3906  6 Ga 2.80-3.09, 2 Al 2.88
Hf 0.9861 0.9861 0.8182  6 Ga 2.82-2.95, 3 Al 2.96-2.97
Al 0.2952 0.2952 0.1713  4 Ga 2.50-2.66
Al 0.7048 0.7048 0.8287  4 Ga 2.50-2.66
Ga 0.3639 0.3639 0.9402  3 Al 2.50-2.66, 1 Ga 2.54
Ga 0.4601 0.4601 0.6028  1 Ga 2.49, 1 Al 2.54
Ga 0.5399 0.5399 0.3972  1 Ga 2.49, 1 Al 2.54
Ga 0.6361 0.6361 0.0598  3 Al 2.50-2.66, 1 Ga 2.54

[4]
Entry from Alexandria via LeMat-Bulk: an optimized crystal structure of PuTh2Ag6 (PBE).

Summary:
**Symmetry**: No. 191
**DFT formation energy**: -0.091 eV/atom

a b c (Å): 8.5314 8.5314 3.2799
angles (deg): 90.00 90.00 120.00
With the nearest neighbours (Å) after each atom.
Fractional coordinates of all 9 atoms:
Pu 0.0000 0.0000 0.0000  12 Ag 3.27, 2 Pu 3.28
Th 0.3333 0.6667 0.0000  2 Th 3.28, 12 Ag 3.29
Th 0.6667 0.3333 0.0000  2 Th 3.28, 12 Ag 3.29
Ag 0.0000 0.3319 0.5000  3 Ag 2.83-2.87
Ag 0.0000 0.6681 0.5000  3 Ag 2.83-2.87
Ag 0.3319 0.0000 0.5000  3 Ag 2.83-2.87
Ag 0.3319 0.3319 0.5000  3 Ag 2.83-2.87
Ag 0.6681 0.0000 0.5000  3 Ag 2.83-2.87
Ag 0.6681 0.6681 0.5000  3 Ag 2.83-2.87

[5]
Entry from Alexandria via LeMat-Bulk: an optimized crystal structure of Ca2ErH6 (PBE).

Summary:
**Symmetry**: No. 225

a b c (Å): 5.5739 5.5739 5.5739
angles (deg): 60.00 60.00 60.00
With the nearest neighbours (Å) after each atom.
Fractional coordinates of all 9 atoms:
Ca 0.2500 0.2500 0.2500  12 H 2.79
Ca 0.7500 0.7500 0.7500  12 H 2.79
Er 0.0000 0.0000 0.0000  6 H 2.09
H 0.2656 0.2656 0.7344  1 Er 2.09
H 0.2656 0.7344 0.2656  1 Er 2.09
H 0.2656 0.7344 0.7344  1 Er 2.09
H 0.7344 0.2656 0.2656  1 Er 2.09
H 0.7344 0.2656 0.7344  1 Er 2.09
H 0.7344 0.7344 0.2656  1 Er 2.09

[6]
Entry from Alexandria via LeMat-Bulk: an optimized crystal structure of KTlH2 (PBE).

Summary:
**Symmetry**: No. 166
**Distance to the lowest polymorph of the same formula**: 138 meV per atom

a b c (Å): 7.4903 7.4903 7.4903
angles (deg): 27.38 27.38 27.38
With the nearest neighbours (Å) after each atom.
Fractional coordinates of all 4 atoms:
K 0.0000 0.0000 0.0000  6 H 2.57
Tl 0.5000 0.5000 0.5000  2 H 2.05
H 0.4051 0.4051 0.4051  1 Tl 2.05
H 0.5949 0.5949 0.5949  1 Tl 2.05

[7]
Entry from Alexandria via LeMat-Bulk: an optimized crystal structure of BaSi3Bi (PBE).

Summary:
**Symmetry**: No. 221
**Distance to the lowest polymorph of the same formula**: 900 meV per atom
**Formation energy from raw total energies**: 1672 meV/atom

a b c (Å): 5.5866 5.5866 5.5866
angles (deg): 90.00 90.00 90.00
With the nearest neighbours (Å) after each atom.
Fractional coordinates of all 5 atoms:
Ba 0.0000 0.0000 0.0000  6 Si 2.79
Si 0.0000 0.0000 0.5000  2 Ba 2.79
Si 0.0000 0.5000 0.0000  2 Ba 2.79
Si 0.5000 0.0000 0.0000  2 Ba 2.79
Bi 0.5000 0.5000 0.5000  12 Si 3.95

[8]
Entry from Alexandria via LeMat-Bulk: an optimized crystal structure of Fe2CoSi (PBE).

Summary:
**Symmetry**: No. 122
**Formation energy from raw total energies**: 231 meV/atom

a b c (Å): 5.1258 5.1258 5.1258
angles (deg): 102.82 102.82 123.81
With the nearest neighbours (Å) after each atom.
Fractional coordinates of all 8 atoms:
Fe 0.1250 0.1250 0.5000  2 Si 2.34, 2 Co 2.34, 2 Fe 2.41
Fe 0.3750 0.8750 0.0000  2 Si 2.34, 2 Co 2.34, 2 Fe 2.41
Fe 0.6250 0.6250 0.5000  2 Si 2.34, 2 Co 2.34, 2 Fe 2.41
Fe 0.8750 0.3750 0.0000  2 Si 2.34, 2 Co 2.34, 2 Fe 2.41
Co 0.0000 0.0000 0.0000  4 Fe 2.34, 2 Si 2.41
Co 0.7500 0.2500 0.5000  4 Fe 2.34, 2 Si 2.41
Si 0.2500 0.7500 0.5000  4 Fe 2.34, 2 Co 2.41
Si 0.5000 0.5000 0.0000  4 Fe 2.34, 2 Co 2.41

[9]
Entry from Alexandria via LeMat-Bulk: an optimized crystal structure of DyZrPdRh (PBE).

Summary:
**Symmetry**: No. 216
**DFT formation energy**: -0.725 eV/atom

a b c (Å): 4.8003 4.8003 4.8003
angles (deg): 60.00 60.00 60.00
With the nearest neighbours (Å) after each atom.
Fractional coordinates of all 4 atoms:
Dy 0.0000 0.0000 0.0000  4 Rh 2.94, 4 Pd 2.94
Zr 0.5000 0.5000 0.5000  4 Pd 2.94, 4 Rh 2.94
Pd 0.2500 0.2500 0.2500  4 Zr 2.94, 4 Dy 2.94
Rh 0.7500 0.7500 0.7500  4 Zr 2.94, 4 Dy 2.94

[10]
Entry from Alexandria via LeMat-Bulk: an optimized crystal structure of MgMnGaSiS (PBE).

Summary:
**Symmetry**: No. 99
**Distance to the lowest polymorph of the same formula**: 94 meV per atom
**Formation energy from raw total energies**: -226 meV/atom

a b c (Å): 3.1128 3.1128 8.1080
angles (deg): 90.00 90.00 90.00
With the nearest neighbours (Å) after each atom.
Fractional coordinates of all 5 atoms:
Mg 0.0000 0.0000 0.0000  4 S 2.48
Mn 0.0000 0.0000 0.5520  4 Si 2.46, 4 Ga 2.67
Ga 0.5000 0.5000 0.7382  1 Si 2.60, 4 Mn 2.67
Si 0.5000 0.5000 0.4173  1 S 2.24, 4 Mn 2.46
S 0.5000 0.5000 0.1412  1 Si 2.24, 4 Mg 2.48

[11]
Entry from Alexandria via LeMat-Bulk: an optimized crystal structure of CsNaGa2Pd (PBE).

Summary:
**Symmetry**: No. 123
**DFT formation energy**: -0.182 eV/atom

a b c (Å): 4.9505 4.9505 5.7858
angles (deg): 90.00 90.00 90.00
With the nearest neighbours (Å) after each atom.
Fractional coordinates of all 5 atoms:
Cs 0.0000 0.0000 0.0000  4 Na 3.50, 8 Ga 3.81
Na 0.5000 0.5000 0.0000  2 Pd 2.89
Ga 0.0000 0.5000 0.5000  2 Pd 2.48
Ga 0.5000 0.0000 0.5000  2 Pd 2.48
Pd 0.5000 0.5000 0.5000  4 Ga 2.48

[12]
Entry from Alexandria via LeMat-Bulk: an optimized crystal structure of InHg2Pd2 (PBE).

Summary:
**Symmetry**: No. 127
**DFT formation energy**: -0.077 eV/atom
**Distance to the lowest polymorph of the same formula**: 125 meV per atom

a b c (Å): 8.0032 8.0032 3.1330
angles (deg): 90.00 90.00 90.00
With the nearest neighbours (Å) after each atom.
Fractional coordinates of all 10 atoms:
In 0.0000 0.0000 0.0000  4 Hg 3.10, 2 In 3.13, 8 Pd 3.39
In 0.5000 0.5000 0.0000  4 Hg 3.10, 2 In 3.13, 8 Pd 3.39
Hg 0.1380 0.3620 0.0000  6 Pd 2.78-2.85, 2 In 3.10
Hg 0.3620 0.8620 0.0000  6 Pd 2.78-2.85, 2 In 3.10
Hg 0.6380 0.1380 0.0000  6 Pd 2.78-2.85, 2 In 3.10
Hg 0.8620 0.6380 0.0000  6 Pd 2.78-2.85, 2 In 3.10
Pd 0.1593 0.6593 0.5000  6 Hg 2.78-2.85
Pd 0.3407 0.1593 0.5000  6 Hg 2.78-2.85
Pd 0.6593 0.8407 0.5000  6 Hg 2.78-2.85
Pd 0.8407 0.3407 0.5000  6 Hg 2.78-2.85

For reference, final energy by record: -36.5 -19.7 -64.1 -47.1 -30.3 -9.1 -13.7 -57.1 -28.6 -24.5 -14.3 -28.2 eV per cell.